CaNdSi4 after structural relaxation, computed with PBE-GGA.

Summary:
Distance to the lowest polymorph of the same formula: 229 meV per atom
Formation energy from raw total energies: -0.262 eV per atom
Crystal system: cubic

Lattice parameters (Å, degrees): 7.6717 7.6717 7.6717 90.00 90.00 90.00
Last column: nearest neighbours and their distance in Å.
Space group F-43m (No. 216)
Asymmetric unit:
Ca1 0.0000 0.0000 0.0000 x4  12 Si 3.18, 4 Nd 3.32
Nd1 0.2500 0.2500 0.2500 x4  12 Si 3.18, 4 Ca 3.32
Si1 0.1261 0.1261 0.6261 x16  6 Si 2.69-2.74